--- a ---
ScCuTc2: relaxed, GGA-PBE.

The structure in extended XYZ format:
```
4
Lattice="-2.159 4.610 1.237 -4.287 2.266 1.983 0.331 1.001 4.087" Properties=species:S:1:pos:R:3 pbc="T T T"
Tc -3.094 3.971 3.651
Tc -6.409 6.843 3.222
Cu -1.529 1.969 1.827
Sc -4.587 5.907 5.480
```

The space group is C2/m (12). For the density of states at the Fermi level, the calculation gives 2.87 states/eV per cell.


--- b ---
ScCuTc2: relaxed, GGA-PBE.

The structure in extended XYZ format:
```
4
Lattice="-3.755 2.601 0.782 -0.045 -0.910 2.812 2.679 3.380 1.621" Properties=species:S:1:pos:R:3 pbc="T T T"
Sc 0.099 3.153 3.716
Tc 1.317 1.292 2.024
Tc 0.001 -0.057 0.193
Cu -1.219 1.918 1.499
```

The space group is P2/m (10). For the density of states at the Fermi level, the calculation gives 3.18 states/eV per cell.


Here are the energies relative to the best structure, in kJ/mol of atoms: a 0.0; b 2.6.


--- a ---
ScCuTc2: relaxed, GGA-PBE.

The structure in extended XYZ format:
```
4
Lattice="-4.992 -1.571 0.302 3.643 -2.593 2.735 -0.628 0.758 2.546" Properties=species:S:1:pos:R:3 pbc="T T T"
Cu -2.810 -0.406 1.424
Tc -0.674 -2.082 1.519
Tc 0.000 0.000 0.000
Sc 1.508 -0.917 2.641
```

The space group is C2/m (12). For the density of states at the Fermi level, the calculation gives 3.38 states/eV per cell.


--- b ---
ScCuTc2: relaxed, GGA-PBE.

The structure in extended XYZ format:
```
4
Lattice="-1.754 -1.712 -1.034 1.928 -1.812 -0.271 -1.714 -3.002 7.876" Properties=species:S:1:pos:R:3 pbc="T T T"
Tc -0.823 -1.441 3.782
Tc -0.034 -0.059 0.156
Sc -1.198 -4.013 5.255
Cu -0.341 -2.512 1.317
```

The space group is P4/mmm (123). For the density of states at the Fermi level, the calculation gives 3.75 states/eV per cell.


Here are the energies relative to the best structure, in kJ/mol of atoms: a 0.0; b 11.0.


--- a ---
ZrScCuTc: relaxed, GGA-PBE.

The structure in extended XYZ format:
```
4
Lattice="3.319 0.000 0.000 0.000 3.319 0.000 0.000 0.000 6.398" Properties=species:S:1:pos:R:3 pbc="T T T"
Sc 1.660 1.660 0.720
Tc 0.000 0.000 2.316
Zr 1.660 1.660 3.812
Cu 0.000 0.000 5.488
```

The space group is P4mm (99). For the density of states at the Fermi level, the calculation gives 2.33 states/eV per cell.


--- b ---
ZrScCuTc: relaxed, GGA-PBE.

The structure in extended XYZ format:
```
4
Lattice="-1.427 -1.518 4.125 -0.956 -4.480 0.610 2.787 -2.626 2.587" Properties=species:S:1:pos:R:3 pbc="T T T"
Tc 0.304 -6.468 5.491
Cu 0.101 -2.156 1.830
Sc 0.203 -4.312 3.661
Zr 0.000 0.000 0.000
```

The space group is F-43m (216). For the density of states at the Fermi level, the calculation gives 3.21 states/eV per cell.


Here are the energies relative to the best structure, in kJ/mol of atoms: a 0.0; b 2.5.


--- a ---
Sc2CuTe: relaxed, GGA-PBE.

The structure in extended XYZ format:
```
4
Lattice="-1.558 -0.828 3.460 1.740 -3.473 -0.048 4.673 2.304 2.656" Properties=species:S:1:pos:R:3 pbc="T T T"
Sc 1.386 -1.512 2.442
Sc 4.426 2.182 2.515
Cu 3.934 -0.256 3.890
Te 2.118 1.044 1.204
```

The space group is P4mm (99). For the density of states at the Fermi level, the calculation gives 2.37 states/eV per cell.


--- b ---
Sc2CuTe: relaxed, GGA-PBE.

The structure in extended XYZ format:
```
4
Lattice="2.273 0.000 8.229 -1.136 1.968 8.229 -1.136 -1.968 8.229" Properties=species:S:1:pos:R:3 pbc="T T T"
Sc 0.000 0.000 2.746
Sc 0.000 0.000 21.942
Cu 0.000 0.000 12.344
Te 0.000 0.000 0.000
```

The space group is R-3m (166). For the density of states at the Fermi level, the calculation gives 4.33 states/eV per cell.


--- c ---
Sc2CuTe: relaxed, GGA-PBE.

The structure in extended XYZ format:
```
4
Lattice="5.767 0.009 0.000 2.910 4.979 0.000 -4.339 -2.494 2.866" Properties=species:S:1:pos:R:3 pbc="T T T"
Te 4.339 2.494 0.000
Sc 1.455 2.489 1.433
Sc 0.000 0.000 0.000
Cu 2.883 0.004 1.433
```

The space group is I-4m2 (119). For the density of states at the Fermi level, the calculation gives 3.16 states/eV per cell.


--- d ---
Sc2CuTe: relaxed, GGA-PBE.

The structure in extended XYZ format:
```
8
Lattice="7.356 0.000 0.000 0.000 7.356 0.000 3.678 3.678 3.331" Properties=species:S:1:pos:R:3 pbc="T T T"
Sc 2.088 5.517 0.833
Sc 5.517 5.766 2.498
Sc 5.267 1.839 0.833
Sc 9.195 8.945 2.498
Cu 3.678 7.356 1.666
Cu 3.678 3.678 0.000
Te 0.000 0.000 0.000
Te 7.356 3.678 1.666
```

The space group is I-42d (122). For the density of states at the Fermi level, the calculation gives 3.81 states/eV per cell.


Here are the energies relative to the best structure, in kJ/mol of atoms: a 0.0; b 41.2; c 5.8; d 15.7.


--- a ---
Sc2CuTe: relaxed, GGA-PBE.

The structure in extended XYZ format:
```
4
Lattice="3.891 -0.031 0.027 1.957 3.363 0.027 1.926 1.097 6.871" Properties=species:S:1:pos:R:3 pbc="T T T"
Sc 3.890 2.216 3.271
Sc 5.845 3.330 0.246
Cu 1.944 1.107 1.731
Te 5.831 3.322 5.194
```

The space group is C2/m (12). For the density of states at the Fermi level, the calculation gives 4.30 states/eV per cell.


--- b ---
Sc2CuTe: relaxed, GGA-PBE.

The structure in extended XYZ format:
```
4
Lattice="3.964 0.000 0.000 0.000 3.919 -0.002 0.000 1.960 5.374" Properties=species:S:1:pos:R:3 pbc="T T T"
Te 0.000 3.674 2.509
Cu 1.982 3.675 4.363
Sc 0.000 5.633 4.900
Sc 1.982 1.714 1.657
```

The space group is Amm2 (38). For the density of states at the Fermi level, the calculation gives 2.78 states/eV per cell.


Here are the energies relative to the best structure, in kJ/mol of atoms: a 6.8; b 0.0.


--- a ---
Sc2CuTe: relaxed, GGA-PBE.

The structure in extended XYZ format:
```
4
Lattice="4.682 0.457 0.000 -0.459 4.682 0.000 0.000 0.000 3.694" Properties=species:S:1:pos:R:3 pbc="T T T"
Cu -0.229 2.341 1.847
Te 2.341 0.229 1.847
Sc 2.112 2.570 0.000
Sc 0.000 0.000 0.000
```

The space group is P4/mmm (123). For the density of states at the Fermi level, the calculation gives 4.79 states/eV per cell.


--- b ---
Sc2CuTe: relaxed, GGA-PBE.

The structure in extended XYZ format:
```
4
Lattice="-0.368 -0.725 5.127 -4.890 -1.505 0.876 3.475 -1.872 -3.371" Properties=species:S:1:pos:R:3 pbc="T T T"
Sc -5.258 -2.231 6.003
Sc -2.629 -1.116 3.002
Te 0.239 -1.857 2.379
Cu -2.022 -2.247 0.254
```

The space group is Immm (71). For the density of states at the Fermi level, the calculation gives 2.51 states/eV per cell.


Here are the energies relative to the best structure, in kJ/mol of atoms: a 0.0; b 1.4.


--- a ---
Sc2CuTe: relaxed, GGA-PBE.

The structure in extended XYZ format:
```
4
Lattice="0.000 3.450 3.450 3.450 0.000 3.450 3.450 3.450 0.000" Properties=species:S:1:pos:R:3 pbc="T T T"
Sc 5.176 5.176 5.176
Sc 1.725 1.725 1.725
Te 3.450 3.450 3.450
Cu 0.000 0.000 0.000
```

The space group is Fm-3m (225). For the density of states at the Fermi level, the calculation gives 5.42 states/eV per cell.


--- b ---
Sc2CuTe: relaxed, GGA-PBE.

The structure in extended XYZ format:
```
4
Lattice="4.902 0.000 0.000 2.451 4.245 0.000 2.451 1.415 4.002" Properties=species:S:1:pos:R:3 pbc="T T T"
Cu 4.902 2.830 2.001
Sc 0.000 0.000 0.000
Sc 2.451 1.415 1.001
Te 7.353 4.245 3.002
```

The space group is F-43m (216). For the density of states at the Fermi level, the calculation gives 4.94 states/eV per cell.


--- c ---
Sc2CuTe: relaxed, GGA-PBE.

The structure in extended XYZ format:
```
4
Lattice="3.623 0.000 0.000 0.000 3.628 0.007 0.000 3.617 6.276" Properties=species:S:1:pos:R:3 pbc="T T T"
Cu 1.812 5.433 4.712
Sc 0.000 3.622 3.234
Sc 0.000 3.617 6.183
Te 1.812 1.811 1.571
```

The space group is P4/mmm (123). For the density of states at the Fermi level, the calculation gives 2.85 states/eV per cell.


Here are the energies relative to the best structure, in kJ/mol of atoms: a 13.2; b 54.6; c 0.0.


--- a ---
Sc4CuTe: relaxed, GGA-PBE.

The structure in extended XYZ format:
```
6
Lattice="0.000 4.107 4.107 4.107 0.000 4.107 4.107 4.107 0.000" Properties=species:S:1:pos:R:3 pbc="T T T"
Sc 5.136 5.136 3.079
Sc 3.079 5.136 5.136
Sc 5.136 3.079 5.136
Sc 3.079 3.079 3.079
Cu 0.000 0.000 0.000
Te 6.161 6.161 6.161
```

The space group is F-43m (216). For the density of states at the Fermi level, the calculation gives 9.52 states/eV per cell.


--- b ---
Sc4CuTe: relaxed, GGA-PBE.

The structure in extended XYZ format:
```
12
Lattice="5.433 0.000 -1.839 0.000 6.030 0.000 -0.155 0.000 8.127" Properties=species:S:1:pos:R:3 pbc="T T T"
Sc 0.010 0.015 2.442
Sc 0.010 2.999 2.442
Sc 2.074 4.522 0.008
Sc 3.204 1.507 6.280
Sc 5.269 3.030 3.846
Sc 5.269 6.014 3.846
Sc 2.236 4.522 4.216
Sc 3.043 1.507 2.072
Cu 1.511 1.507 4.206
Cu 3.767 4.522 2.082
Te 4.246 4.522 6.321
Te 1.033 1.507 -0.033
```

The space group is P2_1/m (11). For the density of states at the Fermi level, the calculation gives 13.62 states/eV per cell.


Here are the energies relative to the best structure, in kJ/mol of atoms: a 66.1; b 0.0.


--- a ---
Sc2CuTe4: relaxed, GGA-PBE.

The structure in extended XYZ format:
```
7
Lattice="-2.468 -2.492 3.721 -0.942 -3.865 -3.213 4.776 -6.489 2.335" Properties=species:S:1:pos:R:3 pbc="T T T"
Cu 0.000 0.000 0.000
Te -0.822 -7.678 1.339
Te 2.189 -5.167 1.505
Te -0.471 -1.932 -1.606
Te -1.234 -1.246 1.861
Sc 1.548 -8.889 2.101
Sc -0.182 -3.956 0.743
```

The space group is I4/mmm (139). For the density of states at the Fermi level, the calculation gives 3.81 states/eV per cell.


--- b ---
Sc2CuTe4: relaxed, GGA-PBE.

The structure in extended XYZ format:
```
14
Lattice="7.323 0.000 0.230 0.000 6.159 0.000 -2.437 0.000 7.912" Properties=species:S:1:pos:R:3 pbc="T T T"
Te 1.700 6.135 6.036
Te -0.470 4.619 3.294
Te 3.185 0.023 2.106
Te 5.356 1.540 4.848
Te 3.185 3.056 2.106
Te 1.700 3.102 6.036
Te -1.718 4.619 6.881
Te 6.604 1.540 1.261
Sc 0.799 1.540 3.563
Sc 5.589 4.619 0.857
Sc 4.087 4.619 4.579
Sc -0.704 1.540 7.285
Cu 1.208 4.619 1.421
Cu 3.677 1.540 6.721
```

The space group is P2_1/m (11). For the density of states at the Fermi level, the calculation gives 1.71 states/eV per cell.


Here are the energies relative to the best structure, in kJ/mol of atoms: a 30.5; b 0.0.


--- a ---
Sc2CuTe2: relaxed, GGA-PBE.

The structure in extended XYZ format:
```
10
Lattice="-0.998 7.638 -0.340 -4.463 -0.303 6.281 3.135 0.510 2.252" Properties=species:S:1:pos:R:3 pbc="T T T"
Sc -3.736 6.326 3.768
Sc -4.163 2.444 5.242
Sc -1.725 1.009 2.173
Sc -1.297 4.891 0.698
Te -2.851 5.016 6.198
Te -1.520 1.253 5.198
Te 0.525 2.829 1.994
Te -0.806 6.592 2.994
Cu 0.000 0.000 0.000
Cu -2.730 3.668 2.970
```

The space group is P4/mbm (127). For the density of states at the Fermi level, the calculation gives 2.94 states/eV per cell.


--- b ---
Sc2CuTe2: relaxed, GGA-PBE.

The structure in extended XYZ format:
```
10
Lattice="-5.329 1.365 5.426 -3.634 -6.542 -1.923 2.085 -1.901 2.526" Properties=species:S:1:pos:R:3 pbc="T T T"
Sc -2.078 -4.974 0.811
Sc -1.376 -1.418 2.907
Sc -5.503 -5.660 3.122
Sc -4.800 -2.103 5.218
Te -6.881 -3.141 3.316
Te -4.898 -5.051 0.243
Te -4.065 -0.126 3.260
Te -2.082 -2.036 0.186
Cu 0.000 0.000 0.000
Cu -4.482 -2.588 1.751
```

The space group is P4/mbm (127). For the density of states at the Fermi level, the calculation gives 5.73 states/eV per cell.


--- c ---
Sc2CuTe2: relaxed, GGA-PBE.

The structure in extended XYZ format:
```
5
Lattice="5.069 0.000 0.000 0.000 5.069 0.000 2.534 2.534 5.750" Properties=species:S:1:pos:R:3 pbc="T T T"
Te 5.069 5.069 4.116
Te 2.534 2.534 1.634
Cu 0.000 0.000 0.000
Sc 2.534 5.069 2.875
Sc 5.069 2.534 2.875
```

The space group is I4/mmm (139). For the density of states at the Fermi level, the calculation gives 3.92 states/eV per cell.


Here are the energies relative to the best structure, in kJ/mol of atoms: a 0.0; b 5.2; c 32.6.


--- a ---
ScCuTe3: relaxed, GGA-PBE.

The structure in extended XYZ format:
```
5
Lattice="-5.188 1.774 -0.284 -1.692 -5.117 -1.048 -0.603 -0.902 5.382" Properties=species:S:1:pos:R:3 pbc="T T T"
Te -0.846 -2.558 -0.524
Te -2.594 0.887 -0.142
Te -0.302 -0.451 2.691
Cu -3.742 -2.123 2.025
Sc 0.000 0.000 0.000
```

The space group is Pm-3m (221). For the density of states at the Fermi level, the calculation gives 8.09 states/eV per cell.


--- b ---
ScCuTe3: relaxed, GGA-PBE.

The structure in extended XYZ format:
```
5
Lattice="5.121 0.000 0.000 0.000 5.121 0.000 0.000 0.000 5.121" Properties=species:S:1:pos:R:3 pbc="T T T"
Te 0.000 0.000 2.561
Te 0.000 2.561 0.000
Te 2.561 0.000 0.000
Sc 2.561 2.561 2.561
Cu 0.000 0.000 0.000
```

The space group is Pm-3m (221). For the density of states at the Fermi level, the calculation gives 3.77 states/eV per cell.


--- c ---
ScCuTe3: relaxed, GGA-PBE.

The structure in extended XYZ format:
```
20
Lattice="-5.349 0.296 -3.938 -4.084 -8.450 0.750 -7.298 1.141 5.837" Properties=species:S:1:pos:R:3 pbc="T T T"
Te -13.189 -1.757 1.572
Te -2.788 -1.414 -0.734
Te -10.204 -3.187 2.683
Te -9.999 -1.302 -0.742
Te -5.880 -0.020 -2.042
Te -8.832 -6.924 0.878
Te -6.732 -5.712 3.391
Te -10.851 -6.994 4.692
Te -6.528 -3.827 -0.034
Te -3.542 -5.257 1.078
Te -7.900 -0.090 1.772
Te -13.944 -5.600 3.384
Sc -7.262 -2.885 2.678
Sc -9.470 -4.129 -0.029
Sc -5.890 -6.978 0.507
Sc -10.842 -0.036 2.142
Cu -7.435 -1.497 -0.586
Cu -9.297 -5.517 3.236
Cu -12.301 -4.387 1.788
Cu -4.431 -2.627 0.862
```

The space group is C2/c (15). For the density of states at the Fermi level, the calculation gives 1.34 states/eV per cell.


Here are the energies relative to the best structure, in kJ/mol of atoms: a 73.8; b 61.2; c 0.0.